Sn3Pd12Pb after structural relaxation. Source: Alexandria, functional PBE.

```
16
Lattice="4.0570 0.0000 0.0000 0.0000 4.0570 0.0000 0.0000 0.0000 16.2370" Properties=species:S:1:pos:R:3 pbc="T T T"
Sn 0.0000 0.0000 0.0000
Sn 0.0000 0.0000 4.0190
Sn 0.0000 0.0000 12.2180
Pd 0.0000 2.0285 2.0110
Pd 0.0000 2.0285 6.0143
Pd 0.0000 2.0285 10.2227
Pd 0.0000 2.0285 14.2260
Pd 2.0285 0.0000 2.0110
Pd 2.0285 0.0000 6.0143
Pd 2.0285 0.0000 10.2227
Pd 2.0285 0.0000 14.2260
Pd 2.0285 2.0285 0.0000
Pd 2.0285 2.0285 4.0191
Pd 2.0285 2.0285 8.1185
Pd 2.0285 2.0285 12.2180
Pb 0.0000 0.0000 8.1185
```

Calculated values
D(E_F) ... 0.3177 states/eV per atom
DFT total energy ... -5.33 eV/atom
ΔE_f ... -43.7 kJ per mole of atoms